No. 1
Computed, not measured: a relaxed CaScCrPb2 crystal at the PBE level of DFT.

- Formation enthalpy at 0 K: 1005 meV per atom
- Symmetry: P4/mmm
- Crystal system: tetragonal
- Raw total energy: -20.35 eV per cell

Unit cell a=5.6631 b=5.6631 c=5.0848 alpha=90.00 beta=90.00 gamma=90.00
Atoms (fractional coordinates):
1 Ca 0.0000 0.0000 0.0000
2 Sc 0.5000 0.5000 0.5000
3 Cr 0.0000 0.0000 0.5000
4 Pb 0.0000 0.5000 0.0000
5 Pb 0.5000 0.0000 0.0000

No. 2
Computed, not measured: a relaxed NbTlSe2 crystal at the PBE level of DFT.

- Energy relative to the elements, uncorrected: -0.182 eV per atom
- Symmetry: Cmcm
- Crystal system: orthorhombic
- Raw total energy: -40.27 eV per cell

Unit cell a=11.5246 b=11.5246 c=5.0929 alpha=90.00 beta=90.00 gamma=161.54
Atoms (fractional coordinates):
1 Nb 0.0524 0.9476 0.7500
2 Nb 0.9476 0.0524 0.2500
3 Tl 0.3113 0.6887 0.7500
4 Tl 0.6887 0.3113 0.2500
5 Se 0.0616 0.9384 0.2500
6 Se 0.1634 0.8366 0.7500
7 Se 0.8366 0.1634 0.2500
8 Se 0.9384 0.0616 0.7500

No. 3
Computed, not measured: a relaxed Nd5PdRu2 crystal at the PBE level of DFT.

- Formation enthalpy at 0 K: -349 meV per atom
- Symmetry: I4/mcm
- Crystal system: tetragonal
- Raw total energy: -100.74 eV per cell

Unit cell a=8.8012 b=8.8012 c=8.8012 alpha=127.29 beta=127.29 gamma=77.77
Atoms (fractional coordinates):
1 Nd 0.0000 0.0000 0.0000
2 Nd 0.0262 0.5262 0.8279
3 Nd 0.1984 0.0262 0.5000
4 Nd 0.3016 0.8016 0.8279
5 Nd 0.4738 0.3016 0.5000
6 Nd 0.5000 0.5000 0.0000
7 Nd 0.5262 0.6984 0.5000
8 Nd 0.6984 0.1984 0.1721
9 Nd 0.8016 0.9738 0.5000
10 Nd 0.9738 0.4738 0.1721
11 Pd 0.2500 0.2500 0.0000
12 Pd 0.7500 0.7500 0.0000
13 Ru 0.1378 0.3622 0.5000
14 Ru 0.3622 0.8622 0.2244
15 Ru 0.6378 0.1378 0.7756
16 Ru 0.8622 0.6378 0.5000

No. 4
Computed, not measured: a relaxed SrBe2Se crystal at the PBE level of DFT.

- Energy relative to the elements, uncorrected: -0.032 eV per atom
- Symmetry: Imm2
- Crystal system: orthorhombic
- Raw total energy: -12.75 eV per cell

Unit cell a=5.1419 b=5.1419 c=5.1419 alpha=136.17 beta=104.98 gamma=91.15
Atoms (fractional coordinates):
1 Sr 0.0000 0.0000 0.0000
2 Be 0.3266 0.8266 0.5000
3 Be 0.4615 0.4615 0.0000
4 Se 0.6389 0.1389 0.5000

No. 5
Computed, not measured: a relaxed K2Li2Ca crystal at the PBE level of DFT.

- Formation enthalpy at 0 K: 242 meV per atom
- Symmetry: P4/mbm
- Crystal system: tetragonal
- Raw total energy: -13.62 eV per cell

Unit cell a=10.4964 b=10.4964 c=3.8891 alpha=90.00 beta=90.00 gamma=90.00
Atoms (fractional coordinates):
1 K 0.1314 0.3686 0.0000
2 K 0.3686 0.8686 0.0000
3 K 0.6314 0.1314 0.0000
4 K 0.8686 0.6314 0.0000
5 Li 0.1738 0.6738 0.5000
6 Li 0.3262 0.1738 0.5000
7 Li 0.6738 0.8262 0.5000
8 Li 0.8262 0.3262 0.5000
9 Ca 0.0000 0.0000 0.0000
10 Ca 0.5000 0.5000 0.0000

No. 6
Computed, not measured: a relaxed Sr4Hg crystal at the PBE level of DFT.

- Formation enthalpy at 0 K: -145 meV per atom
- Symmetry: Pm-3m
- Crystal system: cubic
- Raw total energy: -7.75 eV per cell

Unit cell a=6.3711 b=6.3711 c=6.3711 alpha=90.00 beta=90.00 gamma=90.00
Atoms (fractional coordinates):
1 Sr 0.0000 0.0000 0.0000
2 Sr 0.0000 0.5000 0.5000
3 Sr 0.5000 0.0000 0.5000
4 Sr 0.5000 0.5000 0.0000
5 Hg 0.5000 0.5000 0.5000

No. 7
Computed, not measured: a relaxed TmLu2Au crystal at the PBE level of DFT.

- Formation enthalpy at 0 K: -409 meV per atom
- Symmetry: P4/mmm
- Crystal system: tetragonal
- Raw total energy: -18.43 eV per cell

Unit cell a=3.4974 b=3.4974 c=8.6054 alpha=90.00 beta=90.00 gamma=90.00
Atoms (fractional coordinates):
1 Tm 0.0000 0.0000 0.0000
2 Lu 0.5000 0.5000 0.2942
3 Lu 0.5000 0.5000 0.7058
4 Au 0.0000 0.0000 0.5000

No. 8
Computed, not measured: a relaxed ZrW crystal at the PBE level of DFT.

- Formation enthalpy at 0 K: 329 meV per atom
- Symmetry: R-3m
- Crystal system: trigonal
- Raw total energy: -41.69 eV per cell

Unit cell a=9.4882 b=9.4882 c=9.4882 alpha=18.95 beta=18.95 gamma=18.95
Atoms (fractional coordinates):
1 Zr 0.1184 0.1184 0.1184
2 Zr 0.8816 0.8816 0.8816
3 W 0.3677 0.3677 0.3677
4 W 0.6323 0.6323 0.6323

No. 9
Computed, not measured: a relaxed KCrGe3 crystal at the PBE level of DFT.

- Formation enthalpy at 0 K: 2267 meV per atom
- Symmetry: Pm-3m
- Crystal system: cubic
- Raw total energy: -13.24 eV per cell

Unit cell a=5.2911 b=5.2911 c=5.2911 alpha=90.00 beta=90.00 gamma=90.00
Atoms (fractional coordinates):
1 K 0.0000 0.0000 0.0000
2 Cr 0.5000 0.5000 0.5000
3 Ge 0.0000 0.0000 0.5000
4 Ge 0.0000 0.5000 0.0000
5 Ge 0.5000 0.0000 0.0000

No. 10
Computed, not measured: a relaxed MnAs4Ir crystal at the PBE level of DFT.

- Formation enthalpy at 0 K: 804 meV per atom
- Symmetry: F-43m
- Crystal system: cubic
- Raw total energy: -31.81 eV per cell

Unit cell a=5.3872 b=5.3872 c=5.3872 alpha=60.00 beta=60.00 gamma=60.00
Atoms (fractional coordinates):
1 Mn 0.0000 0.0000 0.0000
2 As 0.1238 0.6254 0.6254
3 As 0.6254 0.1238 0.6254
4 As 0.6254 0.6254 0.1238
5 As 0.6254 0.6254 0.6254
6 Ir 0.2500 0.2500 0.2500

No. 11
Computed, not measured: a relaxed PaInOsRh crystal at the PBE level of DFT.

- Formation enthalpy at 0 K: -306 meV per atom
- Symmetry: F-43m
- Crystal system: cubic
- Raw total energy: -32.04 eV per cell

Unit cell a=4.7662 b=4.7662 c=4.7662 alpha=60.00 beta=60.00 gamma=60.00
Atoms (fractional coordinates):
1 Pa 0.0000 0.0000 0.0000
2 In 0.5000 0.5000 0.5000
3 Os 0.7500 0.7500 0.7500
4 Rh 0.2500 0.2500 0.2500